TlFeOs2 | PBE | optimized geometry

Results
Energy above the most stable polymorph in this dataset (eV per atom): 0.176
Spin magnetization (μB/f.u.): 2.61
Formation energy from the elements (eV per atom): 0.7326

```
data_TlFeOs2
_chemical_formula_sum 'Tl2 Fe2 Os4'
_cell_length_a 2.827
_cell_length_b 4.563
_cell_length_c 9.794
_cell_angle_alpha 90.00
_cell_angle_beta 90.00
_cell_angle_gamma 90.00
_space_group_name_H-M_alt 'I m m m'
_space_group_IT_number 71
_space_group_name_Hall '-I 2 2'
loop_
_atom_site_label
_atom_site_type_symbol
_atom_site_fract_x
_atom_site_fract_y
_atom_site_fract_z
Tl1 Tl 0.000 0.000 0.000
Fe1 Fe 0.000 0.000 0.500
Os1 Os 0.000 0.500 0.217
```